# 1
This record from Alexandria via LeMat-Bulk describes crystalline Lu2GeSb at its relaxed geometry. The functional is PBE.

Unit cell a=9.1359 b=9.1359 c=9.1359 alpha=25.91 beta=25.91 gamma=25.91
With the nearest neighbours (Å) after each atom.
Element x y z (fractional)
Lu 0.1117 0.1117 0.1117  3 Ge 2.78, 1 Sb 2.96
Lu 0.8883 0.8883 0.8883  3 Ge 2.78, 1 Sb 2.96
Ge 0.5000 0.5000 0.5000  6 Lu 2.78
Sb 0.0000 0.0000 0.0000  2 Lu 2.96

Summary:
As for the total DFT energy (no corrections): -4.75 eV/atom. The value obtained for the energy relative to the elements, uncorrected is -116 kJ/mol of formula units. The symmetry is R-3m, No. 166.

---

# 2
This record from Alexandria via LeMat-Bulk describes crystalline BeFeCu2 at its relaxed geometry. The functional is PBE.

Unit cell a=2.4632 b=3.7962 c=4.8532 alpha=90.00 beta=104.59 gamma=90.00
With the nearest neighbours (Å) after each atom.
Element x y z (fractional)
Be 0.0000 0.0000 0.0000  4 Cu 2.32, 2 Fe 2.43, 2 Be 2.46
Fe 0.5000 0.0000 0.5000  2 Be 2.43, 2 Fe 2.46, 8 Cu 2.52-2.64
Cu 0.1823 0.5000 0.7633  2 Be 2.32, 4 Cu 2.43-2.49, 2 Fe 2.52
Cu 0.8177 0.5000 0.2367  2 Be 2.32, 4 Cu 2.43-2.49, 2 Fe 2.52

Summary:
As for the total DFT energy (no corrections): -5.00 eV/atom. As for the formation energy: 0.091 eV/atom. The symmetry is P2/m, No. 10.

---

# 3
This record from Alexandria via LeMat-Bulk describes crystalline Hf4SnAs at its relaxed geometry. The functional is PBE.

Unit cell a=5.5148 b=6.8769 c=7.7943 alpha=76.70 beta=69.32 gamma=89.88
With the nearest neighbours (Å) after each atom.
Element x y z (fractional)
Hf 0.0310 0.0615 0.1553  1 As 2.56, 1 Hf 2.87
Hf 0.1864 0.4400 0.8440  1 As 2.56, 1 Hf 2.86
Hf 0.1959 0.3713 0.3480  2 As 2.61-2.63
Hf 0.4576 0.8726 0.3480  2 As 2.61-2.63
Hf 0.5424 0.1274 0.6520  2 As 2.61-2.63
Hf 0.8041 0.6287 0.6520  2 As 2.61-2.63
Hf 0.8136 0.5600 0.1560  1 As 2.56, 1 Hf 2.86
Hf 0.9690 0.9385 0.8447  1 As 2.56, 1 Hf 2.87
Sn 0.3863 0.7499 0.0006  10 Hf 3.06-3.17
Sn 0.6137 0.2501 0.9994  10 Hf 3.06-3.17
As 0.0000 0.0000 0.5000  6 Hf 2.56-2.63
As 0.5000 0.5000 0.5000  6 Hf 2.56-2.63

Summary:
As for the total DFT energy (no corrections): -8.31 eV/atom. As for the formation energy: -0.234 eV/atom. The symmetry is P-1, No. 2.

---

# 4
This record from Alexandria via LeMat-Bulk describes crystalline Hg4As2ICl2 at its relaxed geometry. The functional is PBE.

Unit cell a=8.2686 b=8.2686 c=10.8290 alpha=115.49 beta=115.49 gamma=26.32
With the nearest neighbours (Å) after each atom.
Element x y z (fractional)
Hg 0.0569 0.0569 0.3566  1 As 2.57, 2 Cl 2.67
Hg 0.3147 0.3147 0.9854  1 I 2.92, 2 Hg 2.93, 1 Cl 3.25
Hg 0.6853 0.6853 0.0146  1 I 2.92, 2 Hg 2.93, 1 Cl 3.25
Hg 0.9431 0.9431 0.6434  1 As 2.57, 2 Cl 2.67
As 0.2292 0.2292 0.4124  2 As 2.54, 1 Hg 2.57
As 0.7708 0.7708 0.5876  2 As 2.54, 1 Hg 2.57
I 0.5000 0.5000 0.0000  2 Hg 2.92
Cl 0.4300 0.4300 0.3187  2 Hg 2.67
Cl 0.5700 0.5700 0.6813  2 Hg 2.67

Summary:
As for the total DFT energy (no corrections): -1.95 eV/atom. The value obtained for the energy relative to the elements, uncorrected is -173 kJ/mol of formula units. The symmetry is C2/m, No. 12.

---

# 5
This record from Alexandria via LeMat-Bulk describes crystalline DyY2Al at its relaxed geometry. The functional is PBE.

Unit cell a=6.7052 b=5.0959 c=6.8158 alpha=90.00 beta=105.92 gamma=90.00
With the nearest neighbours (Å) after each atom.
Element x y z (fractional)
Dy 0.1089 0.2500 0.4033  1 Al 3.09, 2 Dy 3.38, 3 Y 3.40-3.41
Dy 0.8911 0.7500 0.5967  1 Al 3.09, 2 Dy 3.38, 3 Y 3.40-3.41
Y 0.1929 0.2500 0.9182  3 Al 3.21-3.23, 2 Dy 3.40-3.50, 3 Y 3.42-3.45
Y 0.3776 0.7500 0.2610  3 Al 3.06-3.24, 2 Dy 3.41
Y 0.6224 0.2500 0.7390  3 Al 3.06-3.24, 2 Dy 3.41
Y 0.8071 0.7500 0.0818  3 Al 3.21-3.23, 2 Dy 3.40-3.50, 3 Y 3.42-3.45
Al 0.3695 0.7500 0.7337  6 Y 3.06-3.24, 1 Dy 3.09
Al 0.6305 0.2500 0.2663  6 Y 3.06-3.24, 1 Dy 3.09

Summary:
As for the total DFT energy (no corrections): -5.52 eV/atom. As for the formation energy: -0.203 eV/atom. The symmetry is P2_1/m, No. 11.

---

# 6
This record from Alexandria via LeMat-Bulk describes crystalline Ba4Cd2Au at its relaxed geometry. The functional is PBE.

Unit cell a=7.2186 b=7.2186 c=7.2186 alpha=108.96 beta=108.96 gamma=110.49
With the nearest neighbours (Å) after each atom.
Element x y z (fractional)
Ba 0.0000 0.0000 0.5000  4 Cd 3.61, 2 Au 3.61
Ba 0.0000 0.5000 0.0000  4 Cd 3.61, 2 Au 3.61
Ba 0.5000 0.0000 0.0000  4 Cd 3.61, 2 Au 3.61
Ba 0.5000 0.5000 0.5000  4 Cd 3.61, 2 Au 3.61
Cd 0.0000 0.5000 0.5000  8 Ba 3.61
Cd 0.5000 0.0000 0.5000  8 Ba 3.61
Au 0.0000 0.0000 0.0000  8 Ba 3.61

Summary:
As for the total DFT energy (no corrections): -2.16 eV/atom. As for the formation energy: -0.335 eV/atom. The symmetry is I4/mmm, No. 139.

---

# 7
This record from Alexandria via LeMat-Bulk describes crystalline SbRhBr2 at its relaxed geometry. The functional is PBE.

Unit cell a=4.9688 b=4.9688 c=4.9688 alpha=60.00 beta=60.00 gamma=60.00
With the nearest neighbours (Å) after each atom.
Element x y z (fractional)
Sb 0.0000 0.0000 0.0000  8 Br 3.04
Rh 0.5000 0.5000 0.5000  8 Br 3.04
Br 0.2500 0.2500 0.2500  4 Sb 3.04, 4 Rh 3.04
Br 0.7500 0.7500 0.7500  4 Rh 3.04, 4 Sb 3.04

Summary:
As for the total DFT energy (no corrections): -3.20 eV/atom. The value obtained for the energy relative to the elements, uncorrected is 193 kJ/mol of formula units. The symmetry is Fm-3m, No. 225.

---

# 8
This record from Alexandria via LeMat-Bulk describes crystalline OsCl5F2 at its relaxed geometry. The functional is PBE.

Unit cell a=6.5200 b=6.8154 c=6.8169 alpha=101.52 beta=110.25 gamma=114.81
With the nearest neighbours (Å) after each atom.
Element x y z (fractional)
Os 0.0000 0.0000 0.0000  1 F 2.02, 2 Cl 2.23-2.24
Cl 0.2137 0.8657 0.2206  1 Os 2.28
Cl 0.3667 0.2946 0.0488  1 Os 2.24
Cl 0.7654 0.1401 0.8138  1 Os 2.29
Cl 0.8911 0.7318 0.6749  1 Os 2.23
Cl 0.9632 0.1726 0.3391  1 F 1.67
F 0.1939 0.4489 0.5281  1 Cl 1.67
F 0.6992 0.8100 0.0452  1 Os 2.02

Summary:
As for the total DFT energy (no corrections): -3.56 eV/atom. The value obtained for the energy relative to the elements, uncorrected is -416 kJ/mol of formula units. The symmetry is P1, No. 1.

---

Spin magnetization? In order: 0.000, 2.409, 0.000, 0.000, 0.000, 0.000, 0.000, 3.000 μB/cell.